Computed, not measured: crystalline PuGe2W at its relaxed geometry at the GGA-PBE level of DFT.

a = 3.253 Å, b = 3.253 Å, c = 6.970 Å
α = 90.00°, β = 90.00°, γ = 90.00°
Positions (direct):
Pu1 0.000 0.000 0.000
Ge1 0.500 0.500 0.295
Ge2 0.500 0.500 0.705
W1 0.000 0.000 0.500

Output
Its energy above the lowest structure with this stoichiometry is 0.00 eV/f.u. Its total energy is -36.70 eV/cell. The crystal system is tetragonal. The energy relative to the elements comes out at -0.05 eV per atom. The magnetic moment is 5.7 μB per formula unit.


Computed, not measured: crystalline PrZr2Pa at its relaxed geometry at the GGA-PBE level of DFT.

a = 3.874 Å, b = 3.874 Å, c = 7.244 Å
α = 90.00°, β = 90.00°, γ = 90.00°
Positions (direct):
Pr1 0.000 0.000 0.000
Zr1 0.500 0.500 0.296
Zr2 0.500 0.500 0.704
Pa1 0.000 0.000 0.500

Output
Its energy above the lowest structure with this stoichiometry is 0.00 eV/f.u. Its total energy is -30.75 eV/cell. The crystal system is tetragonal. The energy relative to the elements comes out at 0.16 eV per atom. The magnetic moment is 0.0 μB per formula unit.


Computed, not measured: crystalline Ba3Cd5H12 at its relaxed geometry at the GGA-PBE level of DFT.

a = 11.873 Å, b = 11.873 Å, c = 11.873 Å
α = 109.47°, β = 109.47°, γ = 109.47°
Positions (direct):
Ba1 0.125 0.250 0.375
Ba2 0.125 0.375 0.750
Ba3 0.250 0.375 0.125
Ba4 0.250 0.875 0.625
Ba5 0.375 0.125 0.250
Ba6 0.375 0.750 0.125
Ba7 0.625 0.250 0.875
Ba8 0.625 0.875 0.750
Ba9 0.750 0.125 0.375
Ba10 0.750 0.625 0.875
Ba11 0.875 0.625 0.250
Ba12 0.875 0.750 0.625
Cd1 0.000 0.000 0.000
Cd2 0.000 0.000 0.500
Cd3 0.000 0.500 0.000
Cd4 0.000 0.500 0.500
Cd5 0.125 0.750 0.875
Cd6 0.125 0.875 0.250
Cd7 0.250 0.125 0.875
Cd8 0.250 0.625 0.375
Cd9 0.375 0.250 0.625
Cd10 0.375 0.625 0.750
Cd11 0.500 0.000 0.000
Cd12 0.500 0.000 0.500
Cd13 0.500 0.500 0.000
Cd14 0.500 0.500 0.500
Cd15 0.625 0.375 0.250
Cd16 0.625 0.750 0.375
Cd17 0.750 0.375 0.625
Cd18 0.750 0.875 0.125
Cd19 0.875 0.125 0.750
Cd20 0.875 0.250 0.125
H1 0.017 0.212 0.118
H2 0.017 0.305 0.900
H3 0.094 0.712 0.695
H4 0.094 0.882 0.400
H5 0.100 0.618 0.406
H6 0.100 0.983 0.695
H7 0.118 0.017 0.212
H8 0.118 0.600 0.906
H9 0.195 0.212 0.594
H10 0.195 0.483 0.600
H11 0.212 0.118 0.017
H12 0.212 0.594 0.195
H13 0.288 0.305 0.906
H14 0.288 0.483 0.382
H15 0.305 0.900 0.017
H16 0.305 0.906 0.288
H17 0.382 0.288 0.483
H18 0.382 0.594 0.900
H19 0.400 0.094 0.882
H20 0.400 0.805 0.517
H21 0.406 0.100 0.618
H22 0.406 0.805 0.788
H23 0.483 0.382 0.288
H24 0.483 0.600 0.195
H25 0.517 0.400 0.805
H26 0.517 0.618 0.712
H27 0.594 0.195 0.212
H28 0.594 0.900 0.382
H29 0.600 0.195 0.483
H30 0.600 0.906 0.118
H31 0.618 0.406 0.100
H32 0.618 0.712 0.517
H33 0.695 0.094 0.712
H34 0.695 0.100 0.983
H35 0.712 0.517 0.618
H36 0.712 0.695 0.094
H37 0.788 0.406 0.805
H38 0.788 0.882 0.983
H39 0.805 0.517 0.400
H40 0.805 0.788 0.406
H41 0.882 0.400 0.094
H42 0.882 0.983 0.788
H43 0.900 0.017 0.305
H44 0.900 0.382 0.594
H45 0.906 0.118 0.600
H46 0.906 0.288 0.305
H47 0.983 0.695 0.100
H48 0.983 0.788 0.882

Output
Its total energy is -206.13 eV/cell. The crystal system is cubic. The magnetic moment is 0.0 μB per formula unit.